## Ta6Te7 (PBE)

Data for a relaxed structure of Ta6Te7.

Its uncorrected formation energy is 952 meV/atom.

It has space group R-3m (No. 166, hexagonal axes), with a = 6.1568 Å, b = 6.1568 Å, c = 28.8204 Å, α = 90.00°, β = 90.00° and γ = 120.00°. The inequivalent atoms are Ta at (0.0000, 0.0000, 0.0485), Ta at (0.0000, 0.0000, 0.1420), Ta at (0.0000, 0.0000, 0.3350), Te at (0.0000, 0.0000, 0.5000) and Te at (0.0061, 0.5030, 0.9246).

---

## CrBiS2Cl (PBE)

Data for a relaxed structure of CrBiS2Cl.

Its energy relative to the lowest polymorph listed for this composition is 0.638 eV per atom. Its uncorrected formation energy is 400 meV/atom.

It has space group P4/mmm (No. 123), with a = 5.2768 Å, b = 5.2768 Å, c = 5.2868 Å, α = 90.00°, β = 90.00° and γ = 90.00°. The inequivalent atoms are Cr at (0.0000, 0.0000, 0.0000), Bi at (0.5000, 0.5000, 0.5000), S at (0.0000, 0.5000, 0.5000) and Cl at (0.5000, 0.5000, 0.0000).

---

## ScAl3Rh (PBE)

Data for a relaxed structure of ScAl3Rh.

Its formation energy is -3.3 eV per formula unit. Its energy relative to the lowest polymorph listed for this composition is 0.000 eV per atom.

It has space group P2_1/m (No. 11), with a = 5.9995 Å, b = 4.1332 Å, c = 7.0053 Å, α = 90.00°, β = 105.59° and γ = 90.00°. The inequivalent atoms are Sc at (0.1849, 0.2500, 0.1893), Al at (0.1069, 0.2500, 0.7447), Al at (0.3494, 0.7500, 0.9467), Al at (0.4843, 0.2500, 0.6245) and Rh at (0.2131, 0.7500, 0.5637).

---

## HfMnZn2 (PBE)

Data for a relaxed structure of HfMnZn2.

Its formation energy is -0.2 eV per formula unit. Its energy relative to the lowest polymorph listed for this composition is 0.000 eV per atom.

It has space group Fm-3m (No. 225), with a = 6.3243 Å, b = 6.3243 Å, c = 6.3243 Å, α = 90.00°, β = 90.00° and γ = 90.00°. The inequivalent atoms are Hf at (0.0000, 0.0000, 0.0000), Mn at (0.0000, 0.0000, 0.5000) and Zn at (0.2500, 0.2500, 0.2500).

---

## SiSbS2 (PBE)

Data for a relaxed structure of SiSbS2.

Its energy relative to the lowest polymorph listed for this composition is 0.000 eV per atom. Its uncorrected formation energy is -160 meV/atom.

It has space group R-3m (No. 166, hexagonal axes), with a = 3.4184 Å, b = 3.4184 Å, c = 24.8652 Å, α = 90.00°, β = 90.00° and γ = 120.00°. The inequivalent atoms are Si at (0.0000, 0.0000, 0.0000), Sb at (0.0000, 0.0000, 0.5000) and S at (0.0000, 0.0000, 0.3867).

---

## SrAuC2 (PBE)

Data for a relaxed structure of SrAuC2.

Its formation energy is 0.0 eV per formula unit. Its energy relative to the lowest polymorph listed for this composition is 0.070 eV per atom.

It has space group P4/mmm (No. 123), with a = 3.9470 Å, b = 3.9470 Å, c = 5.2261 Å, α = 90.00°, β = 90.00° and γ = 90.00°. The inequivalent atoms are Sr at (0.0000, 0.0000, 0.0000), Au at (0.5000, 0.5000, 0.5000) and C at (0.5000, 0.5000, 0.1225).

---

## HfCdN2 (PBE)

Data for a relaxed structure of HfCdN2.

Its uncorrected formation energy is -762 meV/atom.

It has space group I-42d (No. 122), with a = 5.0662 Å, b = 5.0662 Å, c = 9.9272 Å, α = 90.00°, β = 90.00° and γ = 90.00°. The inequivalent atoms are Hf at (0.0000, 0.0000, 0.0000), Cd at (0.0000, 0.0000, 0.5000) and N at (0.2081, 0.2500, 0.1250).

---

## Ta2CuAg (PBE)

Data for a relaxed structure of Ta2CuAg.

Its formation energy is 1.2 eV per formula unit. Its energy relative to the lowest polymorph listed for this composition is 0.176 eV per atom.

It has space group P4/mmm (No. 123), with a = 3.9923 Å, b = 3.9923 Å, c = 4.1389 Å, α = 90.00°, β = 90.00° and γ = 90.00°. The inequivalent atoms are Ta at (0.0000, 0.5000, 0.0000), Cu at (0.0000, 0.0000, 0.5000) and Ag at (0.5000, 0.5000, 0.5000).

---

## PuTh2Bi2 (PBE)

Data for a relaxed structure of PuTh2Bi2.

Its formation energy is -1.2 eV per formula unit.

It has space group Ibam (No. 72), with a = 8.5271 Å, b = 12.6534 Å, c = 6.3479 Å, α = 90.00°, β = 90.00° and γ = 90.00°. The inequivalent atoms are Pu at (0.0000, 0.0000, 0.2500), Th at (0.1495, 0.3928, 0.0000) and Bi at (0.2349, 0.3541, 0.5000).

---

## PaFe2Sb (PBE)

Data for a relaxed structure of PaFe2Sb.

Its energy relative to the lowest polymorph listed for this composition is 0.184 eV per atom. Its uncorrected formation energy is -56 meV/atom.

It has space group P4/mmm (No. 123), with a = 4.4583 Å, b = 4.4583 Å, c = 3.4709 Å, α = 90.00°, β = 90.00° and γ = 90.00°. The inequivalent atoms are Pa at (0.0000, 0.0000, 0.0000), Fe at (0.0000, 0.5000, 0.5000) and Sb at (0.5000, 0.5000, 0.0000).

---

## CdP2PdCl (PBE)

Data for a relaxed structure of CdP2PdCl.

Its energy relative to the lowest polymorph listed for this composition is 0.648 eV per atom. Its uncorrected formation energy is 1070 meV/atom.

It has space group P4/mmm (No. 123), with a = 4.9511 Å, b = 4.9511 Å, c = 5.1046 Å, α = 90.00°, β = 90.00° and γ = 90.00°. The inequivalent atoms are Cd at (0.0000, 0.0000, 0.0000), P at (0.0000, 0.5000, 0.0000), Pd at (0.5000, 0.5000, 0.5000) and Cl at (0.0000, 0.0000, 0.5000).

---

## InCuRhBr2 (PBE)

Data for a relaxed structure of InCuRhBr2.

Its uncorrected formation energy is 861 meV/atom.

It has space group P4/mmm (No. 123), with a = 5.6995 Å, b = 5.6995 Å, c = 4.9253 Å, α = 90.00°, β = 90.00° and γ = 90.00°. The inequivalent atoms are In at (0.0000, 0.0000, 0.0000), Cu at (0.0000, 0.0000, 0.5000), Rh at (0.5000, 0.5000, 0.5000) and Br at (0.0000, 0.5000, 0.0000).

---

| no. | magnetic moment (Bohr magnetons per cell) | total DFT energy (no corrections) (eV for the cell shown) |
| --- | --- | --- |
| 1 | 0.01 | -242.2 |
| 2 | 4.35 | -21.6 |
| 3 | 0.00 | -56.5 |
| 4 | 11.79 | -87.6 |
| 5 | 0.00 | -55.3 |
| 6 | 0.00 | -23.4 |
| 7 | 0.00 | -122.3 |
| 8 | 0.00 | -29.5 |
| 9 | 27.57 | -152.5 |
| 10 | 1.90 | -30.8 |
| 11 | 0.00 | -13.4 |
| 12 | 1.65 | -13.2 |